DFT (PBE-GGA) results for Y6SnAs2Se3 after structural relaxation.

a = 9.3098 Å, b = 9.3098 Å, c = 8.3435 Å
α = 102.82°, β = 102.82°, γ = 25.81°
Fractional positions:
Y: 0.0031 0.0031 0.2572
Y: 0.3294 0.3294 0.4233
Y: 0.3310 0.3310 0.9060
Y: 0.6690 0.6690 0.0940
Y: 0.6706 0.6706 0.5767
Y: 0.9969 0.9969 0.7428
Sn: 0.5000 0.5000 0.0000
As: 0.1675 0.1675 0.3353
As: 0.8325 0.8325 0.6647
Se: 0.1662 0.1662 0.8318
Se: 0.5000 0.5000 0.5000
Se: 0.8338 0.8338 0.1682

Output
- Calculated total energy: -6.77 eV per atom
- Uncorrected formation energy: -18.7 eV/f.u.